# 1
A relaxed MgSbMo crystal. Source: Alexandria via LeMat-Bulk, functional PBE.

```
MgSbMo
1.0
-3.550 -1.337 -2.542
-0.140 -4.247 -1.673
-2.997 -3.014 1.669
Mg Mo Sb
1 1 1
Direct
0.500 0.500 0.500 Mg
0.750 0.750 0.750 Mo
0.000 0.000 0.000 Sb
```

Results
**Mass density**: 6.0 g/cm3
**Fermi-level density of states**: 1.06 states/eV per atom
**ΔE_f (raw)**: 0.48 eV/atom

=====

# 2
A relaxed Ti5BeGa crystal. Source: Alexandria via LeMat-Bulk, functional PBE.

```
Ti5BeGa
1.0
4.981 0.281 -0.539
1.847 4.634 -0.539
1.958 1.410 9.772
Ti Be Ga
10 2 2
Direct
0.850 0.666 0.160 Ti
0.253 0.408 0.568 Ti
0.666 0.850 0.660 Ti
0.310 0.690 0.250 Ti
0.592 0.747 0.932 Ti
0.408 0.253 0.068 Ti
0.690 0.310 0.750 Ti
0.334 0.150 0.340 Ti
0.747 0.592 0.432 Ti
0.150 0.334 0.840 Ti
0.000 0.000 0.000 Be
0.000 0.000 0.500 Be
0.829 0.171 0.250 Ga
0.171 0.829 0.750 Ga
```

Results
**Mass density**: 4.6 g/cm3
**Formation enthalpy at 0 K**: 0.07 eV per atom
**Fermi-level density of states**: 1.09 states/eV per atom

=====

# 3
A relaxed SrNbNO2 crystal. Source: Alexandria via LeMat-Bulk, functional PBE.

```
SrNbNO2
1.0
-3.549 2.328 -1.061
-1.813 -3.568 -1.766
-1.751 -0.963 3.744
Sr Nb O N
1 1 2 1
Direct
0.000 0.000 0.000 Sr
0.500 0.500 0.500 Nb
0.000 0.500 0.000 O
0.500 0.000 0.000 O
0.000 0.000 0.500 N
```

Results
**Mass density**: 4.6 g/cm3
**Fermi-level density of states**: 1.02 states/eV per atom
**ΔE_f (raw)**: 0.78 eV/atom

=====

# 4
A relaxed HoSiSe crystal. Source: Alexandria via LeMat-Bulk, functional PBE.

```
HoSiSe
1.0
-1.187 3.032 -2.328
-3.298 -0.368 -2.239
-7.888 5.086 7.203
Se Si Ho
2 2 2
Direct
0.277 0.277 0.168 Se
0.723 0.723 0.832 Se
0.156 0.156 0.531 Si
0.844 0.844 0.469 Si
0.431 0.431 0.706 Ho
0.569 0.569 0.294 Ho
```

Results
**Mass density**: 5.6 g/cm3
**Fermi-level density of states**: 0.10 states/eV per atom
**ΔE_f (raw)**: -1.04 eV/atom